VASP calculation (PBE-GGA) on an optimized crystal structure of Li2HfBeBi.

## Properties
Raw total energy (eV/f.u.): -16.97
Space group: P4/mmm (123)
E_form (kJ/mol of formula units): 426

Cell and atoms, written as extended XYZ:
```
5
Lattice="-3.723 1.011 -2.856 1.836 -2.788 -3.380 -2.396 -3.752 1.794" Properties=species:S:1:pos:R:3 pbc="T T T"
Be 0.918 -1.394 -1.690
Hf -2.141 -2.765 -2.221
Bi 0.000 0.000 0.000
Li -1.198 -1.876 0.897
Li -1.861 0.506 -1.428
```


VASP calculation (PBE-GGA) on an optimized crystal structure of Al2BrCl.

## Properties
Energy relative to the elements, uncorrected (eV per atom): -0.442
Raw total energy (eV/f.u.): -12.77
Space group: Cmm2 (35)
E above lowest polymorph (eV/f.u.): 0.80

Cell and atoms, written as extended XYZ:
```
4
Lattice="3.676 0.006 0.000 -2.010 3.077 0.000 0.000 0.000 9.361" Properties=species:S:1:pos:R:3 pbc="T T T"
Al 0.000 0.000 0.180
Al 0.833 1.542 2.079
Br 0.000 0.000 3.919
Cl 0.833 1.542 7.862
```


VASP calculation (PBE-GGA) on an optimized crystal structure of SrCaZnRe2.

## Properties
Raw total energy (eV/f.u.): -19.76
Space group: P4/mmm (123)
E_form (kJ/mol of formula units): 974

Cell and atoms, written as extended XYZ:
```
5
Lattice="-3.075 1.702 3.576 1.693 -3.784 3.257 3.618 3.049 1.661" Properties=species:S:1:pos:R:3 pbc="T T T"
Re 1.809 1.524 0.830
Re -1.538 0.851 1.788
Zn 0.847 -1.892 1.629
Ca 0.000 0.000 0.000
Sr 1.118 0.484 4.247
```


VASP calculation (PBE-GGA) on an optimized crystal structure of Pt2SeCl.

## Properties
Energy relative to the elements, uncorrected (eV per atom): -0.078
Raw total energy (eV/f.u.): -17.72
Space group: Amm2 (38)
E above lowest polymorph (eV/f.u.): 0.68

Cell and atoms, written as extended XYZ:
```
4
Lattice="3.765 0.000 0.000 0.000 4.796 -0.004 0.000 2.213 4.263" Properties=species:S:1:pos:R:3 pbc="T T T"
Cl 1.882 5.468 3.323
Pt 0.000 0.153 0.093
Pt 1.882 1.753 1.066
Se 0.000 3.139 1.907
```


VASP calculation (PBE-GGA) on an optimized crystal structure of Sr2In2Ag.

## Properties
Raw total energy (eV/f.u.): -11.89
Space group: P4/mbm (127)
E above lowest polymorph (eV/f.u.): 1.70
E_form (kJ/mol of formula units): -19

Cell and atoms, written as extended XYZ:
```
10
Lattice="9.412 0.000 0.000 0.000 9.412 0.000 0.000 0.000 4.044" Properties=species:S:1:pos:R:3 pbc="T T T"
Sr 2.935 7.641 0.000
Sr 7.641 6.477 0.000
Sr 6.477 1.771 0.000
Sr 1.771 2.935 0.000
Ag 0.000 0.000 0.000
Ag 4.706 4.706 0.000
In 1.027 5.733 2.022
In 5.733 8.385 2.022
In 8.385 3.679 2.022
In 3.679 1.027 2.022
```


VASP calculation (PBE-GGA) on an optimized crystal structure of HfSbPt3.

## Properties
Energy relative to the elements, uncorrected (eV per atom): 0.552
Raw total energy (eV/f.u.): -29.44
Space group: Pm-3m (221)
E above lowest polymorph (eV/f.u.): 0.22

Cell and atoms, written as extended XYZ:
```
5
Lattice="-0.463 4.095 2.584 -3.923 1.204 -2.611 -2.838 -2.332 3.189" Properties=species:S:1:pos:R:3 pbc="T T T"
Sb 0.000 0.000 0.000
Hf -3.612 1.484 1.580
Pt -1.962 0.602 -1.306
Pt -1.419 -1.166 1.594
Pt -0.231 2.048 1.292
```


Repeat the fourth record exactly.
VASP calculation (PBE-GGA) on an optimized crystal structure of Pt2SeCl.

## Properties
Energy relative to the elements, uncorrected (eV per atom): -0.078
Raw total energy (eV/f.u.): -17.72
Space group: Amm2 (38)
E above lowest polymorph (eV/f.u.): 0.68

Cell and atoms, written as extended XYZ:
```
4
Lattice="3.765 0.000 0.000 0.000 4.796 -0.004 0.000 2.213 4.263" Properties=species:S:1:pos:R:3 pbc="T T T"
Cl 1.882 5.468 3.323
Pt 0.000 0.153 0.093
Pt 1.882 1.753 1.066
Se 0.000 3.139 1.907
```


What is the raw total energy in the fourth record? -17.72 eV/f.u.


The lowest raw total energy belongs to which entry? HfSbPt3